P:
The following is a PBE-GGA calculation of crystalline LuBeNb at its relaxed geometry, from the Open Quantum Materials Database.

Structure (extended XYZ):
```
3
Lattice="0.000 3.184 3.184 3.184 0.000 3.184 3.184 3.184 0.000" Properties=species:S:1:pos:R:3 pbc="T T T"
Lu 0.000 0.000 0.000
Be 3.184 3.184 3.184
Nb 4.776 4.776 4.776
```

Summary:
* calculated volume: 64.5 Å³ per cell
* SG: F-43m

Q:
The following is a PBE-GGA calculation of crystalline LuBeNb at its relaxed geometry, from the Open Quantum Materials Database.

Structure (extended XYZ):
```
3
Lattice="0.000 3.229 3.229 3.229 0.000 3.229 3.229 3.229 0.000" Properties=species:S:1:pos:R:3 pbc="T T T"
Lu 0.000 0.000 0.000
Be 4.844 4.844 4.844
Nb 1.615 1.615 1.615
```

Summary:
* calculated volume: 67.3 Å³ per cell
* SG: F-43m

Short version: P, Q, most stable first.

P:
The following is a PBE-GGA calculation of crystalline LuBeNiPb at its relaxed geometry, from the Open Quantum Materials Database.

Structure (extended XYZ):
```
4
Lattice="0.000 3.294 3.294 3.294 0.000 3.294 3.294 3.294 0.000" Properties=species:S:1:pos:R:3 pbc="T T T"
Lu 0.000 0.000 0.000
Be 4.942 4.942 4.942
Ni 3.294 3.294 3.294
Pb 1.647 1.647 1.647
```

Summary:
* calculated volume: 71.5 Å³ per cell
* SG: F-43m

Q:
The following is a PBE-GGA calculation of crystalline LuBeNiPb at its relaxed geometry, from the Open Quantum Materials Database.

Structure (extended XYZ):
```
4
Lattice="0.000 3.265 3.265 3.265 0.000 3.265 3.265 3.265 0.000" Properties=species:S:1:pos:R:3 pbc="T T T"
Lu 0.000 0.000 0.000
Be 1.633 1.633 1.633
Ni 4.898 4.898 4.898
Pb 3.265 3.265 3.265
```

Summary:
* calculated volume: 69.6 Å³ per cell
* SG: F-43m

Short version: Q, P, most stable first.

P:
The following is a PBE-GGA calculation of crystalline LuBeNiSb at its relaxed geometry, from the Open Quantum Materials Database.

Structure (extended XYZ):
```
4
Lattice="0.000 3.278 3.278 3.278 0.000 3.278 3.278 3.278 0.000" Properties=species:S:1:pos:R:3 pbc="T T T"
Lu 0.000 0.000 0.000
Be 4.916 4.916 4.916
Ni 3.278 3.278 3.278
Sb 1.639 1.639 1.639
```

Summary:
* calculated volume: 70.4 Å³ per cell
* SG: F-43m

Q:
The following is a PBE-GGA calculation of crystalline LuBeNiSb at its relaxed geometry, from the Open Quantum Materials Database.

Structure (extended XYZ):
```
4
Lattice="0.000 3.218 3.218 3.218 0.000 3.218 3.218 3.218 0.000" Properties=species:S:1:pos:R:3 pbc="T T T"
Lu 0.000 0.000 0.000
Be 1.609 1.609 1.609
Ni 4.826 4.826 4.826
Sb 3.218 3.218 3.218
```

Summary:
* calculated volume: 66.6 Å³ per cell
* SG: F-43m

Short version: Q, P, most stable first.

P:
The following is a PBE-GGA calculation of crystalline LuScBeNi at its relaxed geometry, from the Open Quantum Materials Database.

Structure (extended XYZ):
```
4
Lattice="0.000 3.158 3.158 3.158 0.000 3.158 3.158 3.158 0.000" Properties=species:S:1:pos:R:3 pbc="T T T"
Lu 0.000 0.000 0.000
Sc 1.579 1.579 1.579
Be 3.158 3.158 3.158
Ni 4.737 4.737 4.737
```

Summary:
* calculated volume: 63.0 Å³ per cell
* SG: F-43m

Q:
The following is a PBE-GGA calculation of crystalline LuScBeNi at its relaxed geometry, from the Open Quantum Materials Database.

Structure (extended XYZ):
```
4
Lattice="0.000 3.234 3.234 3.234 0.000 3.234 3.234 3.234 0.000" Properties=species:S:1:pos:R:3 pbc="T T T"
Lu 0.000 0.000 0.000
Sc 3.234 3.234 3.234
Be 4.851 4.851 4.851
Ni 1.617 1.617 1.617
```

Summary:
* calculated volume: 67.6 Å³ per cell
* SG: F-43m

Short version: Q, P, most stable first.

P:
The following is a PBE-GGA calculation of crystalline LuBeSiNi at its relaxed geometry, from the Open Quantum Materials Database.

Structure (extended XYZ):
```
4
Lattice="0.000 3.051 3.051 3.051 0.000 3.051 3.051 3.051 0.000" Properties=species:S:1:pos:R:3 pbc="T T T"
Lu 0.000 0.000 0.000
Be 4.576 4.576 4.576
Si 1.525 1.525 1.525
Ni 3.051 3.051 3.051
```

Summary:
* calculated volume: 56.8 Å³ per cell
* SG: F-43m

Q:
The following is a PBE-GGA calculation of crystalline LuBeSiNi at its relaxed geometry, from the Open Quantum Materials Database.

Structure (extended XYZ):
```
4
Lattice="0.000 3.020 3.020 3.020 0.000 3.020 3.020 3.020 0.000" Properties=species:S:1:pos:R:3 pbc="T T T"
Lu 0.000 0.000 0.000
Be 1.510 1.510 1.510
Si 3.020 3.020 3.020
Ni 4.530 4.530 4.530
```

Summary:
* calculated volume: 55.1 Å³ per cell
* SG: F-43m

Short version: Q, P, most stable first.

P:
The following is a PBE-GGA calculation of crystalline LuBeNiSn at its relaxed geometry, from the Open Quantum Materials Database.

Structure (extended XYZ):
```
4
Lattice="0.000 3.236 3.236 3.236 0.000 3.236 3.236 3.236 0.000" Properties=species:S:1:pos:R:3 pbc="T T T"
Lu 0.000 0.000 0.000
Be 4.854 4.854 4.854
Ni 3.236 3.236 3.236
Sn 1.618 1.618 1.618
```

Summary:
* calculated volume: 67.8 Å³ per cell
* SG: F-43m

Q:
The following is a PBE-GGA calculation of crystalline LuBeNiSn at its relaxed geometry, from the Open Quantum Materials Database.

Structure (extended XYZ):
```
4
Lattice="0.000 3.188 3.188 3.188 0.000 3.188 3.188 3.188 0.000" Properties=species:S:1:pos:R:3 pbc="T T T"
Lu 0.000 0.000 0.000
Be 1.594 1.594 1.594
Ni 4.783 4.783 4.783
Sn 3.188 3.188 3.188
```

Summary:
* calculated volume: 64.8 Å³ per cell
* SG: F-43m

Short version: Q, P, most stable first.

P:
The following is a PBE-GGA calculation of crystalline LuBeOs at its relaxed geometry, from the Open Quantum Materials Database.

Structure (extended XYZ):
```
3
Lattice="0.000 3.045 3.045 3.045 0.000 3.045 3.045 3.045 0.000" Properties=species:S:1:pos:R:3 pbc="T T T"
Lu 0.000 0.000 0.000
Be 3.045 3.045 3.045
Os 4.568 4.568 4.568
```

Summary:
* calculated volume: 56.5 Å³ per cell
* SG: F-43m

Q:
The following is a PBE-GGA calculation of crystalline LuBeOs at its relaxed geometry, from the Open Quantum Materials Database.

Structure (extended XYZ):
```
3
Lattice="0.000 3.106 3.106 3.106 0.000 3.106 3.106 3.106 0.000" Properties=species:S:1:pos:R:3 pbc="T T T"
Lu 0.000 0.000 0.000
Be 4.659 4.659 4.659
Os 1.553 1.553 1.553
```

Summary:
* calculated volume: 59.9 Å³ per cell
* SG: F-43m

Short version: P, Q, most stable first.

P:
The following is a PBE-GGA calculation of crystalline LuTaBeOs at its relaxed geometry, from the Open Quantum Materials Database.

Structure (extended XYZ):
```
4
Lattice="0.000 3.177 3.177 3.177 0.000 3.177 3.177 3.177 0.000" Properties=species:S:1:pos:R:3 pbc="T T T"
Lu 0.000 0.000 0.000
Ta 1.588 1.588 1.588
Be 4.765 4.765 4.765
Os 3.177 3.177 3.177
```

Summary:
* calculated volume: 64.1 Å³ per cell
* SG: F-43m

Q:
The following is a PBE-GGA calculation of crystalline LuTaBeOs at its relaxed geometry, from the Open Quantum Materials Database.

Structure (extended XYZ):
```
4
Lattice="0.000 3.221 3.221 3.221 0.000 3.221 3.221 3.221 0.000" Properties=species:S:1:pos:R:3 pbc="T T T"
Lu 0.000 0.000 0.000
Ta 3.221 3.221 3.221
Be 1.610 1.610 1.610
Os 4.831 4.831 4.831
```

Summary:
* calculated volume: 66.8 Å³ per cell
* SG: F-43m

Short version: Q, P, most stable first.

P:
The following is a PBE-GGA calculation of crystalline LuBePb at its relaxed geometry, from the Open Quantum Materials Database.

Structure (extended XYZ):
```
3
Lattice="0.000 3.185 3.185 3.185 0.000 3.185 3.185 3.185 0.000" Properties=species:S:1:pos:R:3 pbc="T T T"
Lu 0.000 0.000 0.000
Be 1.592 1.592 1.592
Pb 3.185 3.185 3.185
```

Summary:
* calculated volume: 64.6 Å³ per cell
* SG: F-43m

Q:
The following is a PBE-GGA calculation of crystalline LuBePb at its relaxed geometry, from the Open Quantum Materials Database.

Structure (extended XYZ):
```
3
Lattice="0.000 3.394 3.394 3.394 0.000 3.394 3.394 3.394 0.000" Properties=species:S:1:pos:R:3 pbc="T T T"
Lu 0.000 0.000 0.000
Be 5.090 5.090 5.090
Pb 1.697 1.697 1.697
```

Summary:
* calculated volume: 78.2 Å³ per cell
* SG: F-43m

Short version: P, Q, most stable first.

P:
The following is a PBE-GGA calculation of crystalline LuBePd at its relaxed geometry, from the Open Quantum Materials Database.

Structure (extended XYZ):
```
3
Lattice="0.000 3.091 3.091 3.091 0.000 3.091 3.091 3.091 0.000" Properties=species:S:1:pos:R:3 pbc="T T T"
Lu 0.000 0.000 0.000
Be 3.091 3.091 3.091
Pd 4.637 4.637 4.637
```

Summary:
* calculated volume: 59.1 Å³ per cell
* SG: F-43m

Q:
The following is a PBE-GGA calculation of crystalline LuBePd at its relaxed geometry, from the Open Quantum Materials Database.

Structure (extended XYZ):
```
3
Lattice="0.000 3.144 3.144 3.144 0.000 3.144 3.144 3.144 0.000" Properties=species:S:1:pos:R:3 pbc="T T T"
Lu 0.000 0.000 0.000
Be 4.716 4.716 4.716
Pd 1.572 1.572 1.572
```

Summary:
* calculated volume: 62.2 Å³ per cell
* SG: F-43m

Short version: P, Q, most stable first.

P:
The following is a PBE-GGA calculation of crystalline LuScBePd at its relaxed geometry, from the Open Quantum Materials Database.

Structure (extended XYZ):
```
4
Lattice="0.000 3.241 3.241 3.241 0.000 3.241 3.241 3.241 0.000" Properties=species:S:1:pos:R:3 pbc="T T T"
Lu 0.000 0.000 0.000
Sc 1.621 1.621 1.621
Be 3.241 3.241 3.241
Pd 4.862 4.862 4.862
```

Summary:
* calculated volume: 68.1 Å³ per cell
* SG: F-43m

Q:
The following is a PBE-GGA calculation of crystalline LuScBePd at its relaxed geometry, from the Open Quantum Materials Database.

Structure (extended XYZ):
```
4
Lattice="0.000 3.325 3.325 3.325 0.000 3.325 3.325 3.325 0.000" Properties=species:S:1:pos:R:3 pbc="T T T"
Lu 0.000 0.000 0.000
Sc 3.325 3.325 3.325
Be 4.987 4.987 4.987
Pd 1.662 1.662 1.662
```

Summary:
* calculated volume: 73.5 Å³ per cell
* SG: F-43m

Short version: Q, P, most stable first.

P:
The following is a PBE-GGA calculation of crystalline LuBeTlPd at its relaxed geometry, from the Open Quantum Materials Database.

Structure (extended XYZ):
```
4
Lattice="0.000 3.336 3.336 3.336 0.000 3.336 3.336 3.336 0.000" Properties=species:S:1:pos:R:3 pbc="T T T"
Lu 0.000 0.000 0.000
Be 3.336 3.336 3.336
Tl 5.005 5.005 5.005
Pd 1.668 1.668 1.668
```

Summary:
* calculated volume: 74.3 Å³ per cell
* SG: F-43m

Q:
The following is a PBE-GGA calculation of crystalline LuBeTlPd at its relaxed geometry, from the Open Quantum Materials Database.

Structure (extended XYZ):
```
4
Lattice="0.000 3.313 3.313 3.313 0.000 3.313 3.313 3.313 0.000" Properties=species:S:1:pos:R:3 pbc="T T T"
Lu 0.000 0.000 0.000
Be 1.657 1.657 1.657
Tl 3.313 3.313 3.313
Pd 4.970 4.970 4.970
```

Summary:
* calculated volume: 72.7 Å³ per cell
* SG: F-43m

Short version: Q, P, most stable first.